{
  "formula": "Nd3Sm6DyTm2",
  "functional": "PBE",
  "state": "relaxed",
  "cell": [[-3.319, -5.274, -0.593], [4.168, 1.587, -4.393], [8.076, -4.683, 7.457]],
  "species": ["Sm", "Sm", "Sm", "Sm", "Sm", "Sm", "Dy", "Nd", "Nd", "Nd", "Tm", "Tm"],
  "fractional_positions": [[0.918, 0.584, 0.755], [0.748, 0.748, 0.245], [0.082, 0.416, 0.245], [0.416, 0.082, 0.245], [0.252, 0.252, 0.755], [0.584, 0.918, 0.755], [0.000, 0.000, 0.000], [0.833, 0.167, 0.500], [0.167, 0.833, 0.500], [0.500, 0.500, 0.500], [0.333, 0.667, 0.000], [0.667, 0.333, 0.000]],
  "volume_a3_per_atom": 33.27,
  "delta_e_f_ev_per_atom": 0.018
}


{
  "formula": "CaCd10In2",
  "functional": "PBE",
  "state": "relaxed",
  "cell": [[-4.000, -3.604, -2.901], [3.164, -3.793, -6.063], [-0.096, -7.126, 2.995]],
  "species": ["Cd", "Cd", "Cd", "Cd", "Cd", "Cd", "Cd", "Cd", "Cd", "Cd", "In", "In", "Ca"],
  "fractional_positions": [[0.009, 0.350, 0.639], [0.500, 0.000, 0.500], [0.281, 0.207, 0.214], [0.991, 0.650, 0.361], [0.637, 0.349, 0.361], [0.363, 0.651, 0.639], [0.509, 0.208, 0.786], [0.719, 0.793, 0.786], [0.491, 0.792, 0.214], [0.000, 0.000, 0.500], [0.500, 0.500, 0.000], [0.000, 0.500, 0.000], [0.000, 0.000, 0.000]],
  "volume_a3_per_atom": 24.37,
  "delta_e_f_ev_per_atom": -0.054
}


Please write out number 1 again, unchanged.
{
  "formula": "Nd3Sm6DyTm2",
  "functional": "PBE",
  "state": "relaxed",
  "cell": [[-3.319, -5.274, -0.593], [4.168, 1.587, -4.393], [8.076, -4.683, 7.457]],
  "species": ["Sm", "Sm", "Sm", "Sm", "Sm", "Sm", "Dy", "Nd", "Nd", "Nd", "Tm", "Tm"],
  "fractional_positions": [[0.918, 0.584, 0.755], [0.748, 0.748, 0.245], [0.082, 0.416, 0.245], [0.416, 0.082, 0.245], [0.252, 0.252, 0.755], [0.584, 0.918, 0.755], [0.000, 0.000, 0.000], [0.833, 0.167, 0.500], [0.167, 0.833, 0.500], [0.500, 0.500, 0.500], [0.333, 0.667, 0.000], [0.667, 0.333, 0.000]],
  "volume_a3_per_atom": 33.27,
  "delta_e_f_ev_per_atom": 0.018
}


Please write out number 1 again, unchanged.
{
  "formula": "Nd3Sm6DyTm2",
  "functional": "PBE",
  "state": "relaxed",
  "cell": [[-3.319, -5.274, -0.593], [4.168, 1.587, -4.393], [8.076, -4.683, 7.457]],
  "species": ["Sm", "Sm", "Sm", "Sm", "Sm", "Sm", "Dy", "Nd", "Nd", "Nd", "Tm", "Tm"],
  "fractional_positions": [[0.918, 0.584, 0.755], [0.748, 0.748, 0.245], [0.082, 0.416, 0.245], [0.416, 0.082, 0.245], [0.252, 0.252, 0.755], [0.584, 0.918, 0.755], [0.000, 0.000, 0.000], [0.833, 0.167, 0.500], [0.167, 0.833, 0.500], [0.500, 0.500, 0.500], [0.333, 0.667, 0.000], [0.667, 0.333, 0.000]],
  "volume_a3_per_atom": 33.27,
  "delta_e_f_ev_per_atom": 0.018
}


Number 1 is which compound? Nd3Sm6DyTm2